# 1
MgCd2Pb | GGA-PBE | relaxed

Properties
- Theoretical density: 7.64 Mg/m³
- Energy of formation from the pure elements: -0.004 eV per atom
- N(E_F): 0.266 states/eV/atom
- Final energy: -7.1 eV per cell
- Distance to the lowest polymorph of the same formula: 12 meV/atom

a b c (Å): 4.4587 3.4160 7.4477
angles (deg): 60.95 90.00 90.00
With the nearest neighbours (Å) after each atom.
Fractional positions:
Pb 0.5000 0.7522 0.7416  6 Cd 3.22-3.39, 4 Mg 3.25-3.27, 2 Pb 3.42
Mg 0.0000 0.5142 0.4879  5 Cd 3.03-3.24, 4 Pb 3.25-3.27
Cd 0.0000 0.9759 0.0234  1 Mg 3.03, 4 Cd 3.13-3.20, 2 Pb 3.32
Cd 0.5000 0.2577 0.2471  6 Cd 3.13-3.42, 4 Mg 3.20-3.24, 2 Pb 3.22-3.29

# 2
Mg4Cd2Pb5 | GGA-PBE | relaxed

Properties
- Theoretical density: 7.38 Mg/m³
- Energy of formation from the pure elements: 0.019 eV per atom
- N(E_F): 0.389 states/eV/atom
- Final energy: -26.5 eV per cell

a b c (Å): 4.3346 7.1067 10.2896
angles (deg): 99.17 102.16 90.00
With the nearest neighbours (Å) after each atom.
Fractional positions:
Mg 0.2804 0.1731 0.5608  1 Cd 3.08, 6 Pb 3.09-3.27, 2 Mg 3.36
Mg 0.9710 0.6920 0.9420  4 Pb 3.07-3.25, 4 Cd 3.08-3.11, 1 Mg 3.14
Mg 0.7196 0.8269 0.4392  1 Cd 3.08, 6 Pb 3.09-3.27, 2 Mg 3.36
Mg 0.0290 0.3080 0.0580  4 Pb 3.07-3.25, 4 Cd 3.08-3.11, 1 Mg 3.14
Cd 0.4262 0.3893 0.8525  5 Mg 3.08-3.11, 1 Cd 3.12, 3 Pb 3.25-3.35
Cd 0.5738 0.6107 0.1475  5 Mg 3.08-3.11, 1 Cd 3.12, 3 Pb 3.25-3.35
Pb 0.8201 0.5082 0.6401  4 Mg 3.10-3.27, 2 Cd 3.25
Pb 0.1799 0.4918 0.3599  4 Mg 3.10-3.27, 2 Cd 3.25
Pb 0.8702 0.0055 0.7403  4 Mg 3.09-3.25, 2 Pb 3.40
Pb 0.5000 0.0000 0.0000  4 Mg 3.07, 2 Cd 3.35, 4 Pb 3.40
Pb 0.1298 0.9945 0.2597  4 Mg 3.09-3.25, 2 Pb 3.40

# 3
Mg2CdPb | GGA-PBE | relaxed

Properties
- Theoretical density: 6.11 Mg/m³
- Energy of formation from the pure elements: 0.027 eV per atom
- N(E_F): 0.404 states/eV/atom
- Final energy: -7.7 eV per cell

a b c (Å): 5.2105 5.2105 5.2105
angles (deg): 60.00 60.00 60.00
With the nearest neighbours (Å) after each atom.
Fractional positions:
Cd 0.5000 0.5000 0.5000  4 Mg 3.19, 4 Pb 3.19
Mg 0.0000 0.0000 0.0000  4 Pb 3.19, 4 Mg 3.19
Mg 0.7500 0.7500 0.7500  4 Cd 3.19, 4 Mg 3.19
Pb 0.2500 0.2500 0.2500  4 Cd 3.19, 4 Mg 3.19